# 1
VASP calculation (PBE) on a relaxed structure of PrSm8Tm2.

Cell: 9.080 10.340 10.340 Å, 40.04 41.24 41.24°
Positions (direct):
Pr (0.000, 0.000, 0.000)
Sm (0.214, 0.332, 0.782)
Sm (0.786, 0.218, 0.668)
Sm (0.245, 0.707, 0.707)
Sm (0.755, 0.293, 0.293)
Sm (0.214, 0.782, 0.332)
Sm (0.786, 0.668, 0.218)
Sm (0.694, 0.655, 0.655)
Sm (0.306, 0.345, 0.345)
Tm (0.688, 0.831, 0.831)
Tm (0.312, 0.169, 0.169)

Values from the calculation:
The space group is C2/m. For the theoretical density, the calculation gives 7.5 g cm⁻³. The crystal system is monoclinic. As for the formation enthalpy at 0 K: 0.14 eV per atom. The calculation puts the total DFT energy (no corrections) at -49.912 eV per formula unit.


# 2
VASP calculation (PBE) on a relaxed structure of Mn2TlAs.

Cell: 4.381 4.381 4.381 Å, 60.00 60.00 60.00°
Positions (direct):
Tl (0.500, 0.500, 0.500)
Mn (0.250, 0.250, 0.250)
Mn (0.750, 0.750, 0.750)
As (0.000, 0.000, 0.000)

Values from the calculation:
The space group is Fm-3m. For the theoretical density, the calculation gives 10.9 g cm⁻³. The crystal system is cubic. As for the formation enthalpy at 0 K: 0.74 eV per atom. The calculation puts the total DFT energy (no corrections) at -22.412 eV per formula unit. Its energy above the lowest structure with this stoichiometry is 536 meV per atom.